The following is a PBE calculation of a geometry-optimized KCo2Ag structure, from the Alexandria database.

Lattice parameters (Å, degrees): 6.0873 6.0873 6.0873 154.33 130.36 56.71
Closest atoms and distances in Å follow each position.
Element x y z (fractional)
K (0.0000, 0.0000, 0.0000)  2 K 2.70, 4 Ag 2.89
Co (0.2777, 0.7777, 0.5000)  6 Co 2.70-2.95, 2 Ag 2.74
Co (0.7223, 0.2223, 0.5000)  6 Co 2.70-2.95, 2 Ag 2.74
Ag (0.5000, 0.5000, 0.0000)  2 Ag 2.70, 4 Co 2.74, 4 K 2.89

DOS at the Fermi energy = 4.649 states/eV per cell
energy of formation from the pure elements = 932.7 meV per atom
volume = 18.509 A^3/atom
theoretical density = 5.94 g/cm3
energy relative to the lowest polymorph listed for this composition = 0.4257 eV/atom
crystal system = orthorhombic